# In2ReTe

A geometry-optimized In2ReTe structure (GGA-PBE, Alexandria).

a = 5.181 Å, b = 5.181 Å, c = 5.181 Å
α = 127.25°, β = 127.25°, γ = 77.85°
Positions (direct):
In 0.000 0.000 0.000
In 0.750 0.250 0.500
Re 0.250 0.750 0.500
Te 0.500 0.500 0.000

space group: I-4m2, No. 119
total DFT energy (no corrections): -17.852 eV for the cell shown
calculated density: 10.56 Mg/m³